The following is a DFT calculation (PBE) of crystalline Ho8Tl3Te3P at its relaxed geometry.

CIF file:
```
data_Ho8Tl3Te3P
_chemical_formula_sum 'Ho8 Tl3 Te3 P1'
_space_group_name_H-M_alt 'P 1'
_space_group_IT_number 1
_cell_length_a 8.5342
_cell_length_b 8.5335
_cell_length_c 8.7487
_cell_angle_alpha 119.19
_cell_angle_beta 90.00
_cell_angle_gamma 120.00
loop_
_space_group_symop_operation_xyz
'x,y,z'
loop_
_atom_site_label
_atom_site_fract_x
_atom_site_fract_y
_atom_site_fract_z
Ho1 0.2500 0.5000 0.2500
Ho2 0.7500 0.5000 0.7500
Ho3 0.7708 0.5416 0.2752
Ho4 0.2292 0.4584 0.7248
Ho5 0.7708 0.0044 0.2752
Ho6 0.2292 0.9956 0.7248
Ho7 0.2336 0.0044 0.2752
Ho8 0.7664 0.9956 0.7248
Tl1 0.5000 0.0000 0.5000
Tl2 0.5000 0.5000 0.5000
Tl3 0.0000 0.5000 0.5000
Te1 0.0000 0.0000 0.0000
Te2 0.0000 0.5000 0.0000
Te3 0.5000 0.5000 0.0000
P1 0.0000 0.0000 0.5000
```

Properties
- Raw total energy: -0.3412 Ry/atom
- E_form (uncorrected): -1070 kJ/mol of formula units
- Density of states at the Fermi level: 0.69 states/eV per atom
- Space group: R-3m